# 1
DFT (GGA-PBE) results for a relaxed PaFe2Cl8 crystal.

## Properties
Raw total energy   -4.869 eV per atom
Density of states at the Fermi level   17.52 states/eV per cell
Crystal system   trigonal
Calculated volume   33.5 Å³/atom
Total magnetization   8.3 Bohr magnetons per cell
Raw formation energy   -1.1239 eV per atom

CIF file:
```
data_PaFe2Cl8
_space_group_name_H-M_alt 'P -3 m 1'
_space_group_IT_number 164
_space_group_name_Hall '-P 3 2"'
_cell_length_a 7.4113
_cell_length_b 7.4113
_cell_length_c 7.7511
_cell_angle_alpha 90.00
_cell_angle_beta 90.00
_cell_angle_gamma 120.00
loop_
_atom_site_label
_atom_site_type_symbol
_atom_site_fract_x
_atom_site_fract_y
_atom_site_fract_z
_atom_site_occupancy
Pa1 Pa 0.0000 0.0000 0.0000 1
Fe1 Fe 0.3333 0.6667 0.6794 1
Cl1 Cl 0.1668 0.3337 0.8032 1
Cl2 Cl 0.3333 0.6667 0.4007 1
```

***

# 2
DFT (GGA-PBE) results for a relaxed FePb2Cl crystal.

## Properties
Raw total energy   -4.326 eV per atom
Density of states at the Fermi level   8.13 states/eV per cell
Crystal system   trigonal
Calculated volume   24.9 Å³/atom
Total magnetization   7.0 Bohr magnetons per cell
Raw formation energy   0.1056 eV per atom

CIF file:
```
data_FePb2Cl
_space_group_name_H-M_alt 'R -3 m'
_space_group_IT_number 166
_space_group_name_Hall '-R 3 2"'
_cell_length_a 3.7146
_cell_length_b 3.7146
_cell_length_c 24.9916
_cell_angle_alpha 90.00
_cell_angle_beta 90.00
_cell_angle_gamma 120.00
loop_
_atom_site_label
_atom_site_type_symbol
_atom_site_fract_x
_atom_site_fract_y
_atom_site_fract_z
_atom_site_occupancy
Fe1 Fe 0.0000 0.0000 0.0000 1
Pb1 Pb 0.0000 0.0000 0.2607 1
Cl1 Cl 0.0000 0.0000 0.5000 1
```

***

# 3
DFT (GGA-PBE) results for a relaxed FePbCl2 crystal.

## Properties
Raw total energy   -3.701 eV per atom
Density of states at the Fermi level   31.87 states/eV per cell
Crystal system   cubic
Calculated volume   22.5 Å³/atom
Total magnetization   13.3 Bohr magnetons per cell
Raw formation energy   0.2651 eV per atom

CIF file:
```
data_FePbCl2
_space_group_name_H-M_alt 'F -4 3 m'
_space_group_IT_number 216
_space_group_name_Hall 'F -4 2 3'
_cell_length_a 7.112
_cell_length_b 7.112
_cell_length_c 7.112
_cell_angle_alpha 90.00
_cell_angle_beta 90.00
_cell_angle_gamma 90.00
loop_
_atom_site_label
_atom_site_type_symbol
_atom_site_fract_x
_atom_site_fract_y
_atom_site_fract_z
_atom_site_occupancy
Fe1 Fe 0.000 0.000 0.000 1
Pb1 Pb 0.250 0.250 0.750 1
Cl1 Cl 0.000 0.000 0.500 1
Cl2 Cl 0.250 0.250 0.250 1
```

***

# 4
DFT (GGA-PBE) results for a relaxed FePbCl4 crystal.

## Properties
Raw total energy   -4.110 eV per atom
Density of states at the Fermi level   12.41 states/eV per cell
Crystal system   tetragonal
Calculated volume   36.9 Å³/atom
Total magnetization   8.0 Bohr magnetons per cell
Raw formation energy   -0.8501 eV per atom

CIF file:
```
data_FePbCl4
_space_group_name_H-M_alt 'I -4'
_space_group_IT_number 82
_space_group_name_Hall 'I -4'
_cell_length_a 6.211
_cell_length_b 6.211
_cell_length_c 11.494
_cell_angle_alpha 90.00
_cell_angle_beta 90.00
_cell_angle_gamma 90.00
loop_
_atom_site_label
_atom_site_type_symbol
_atom_site_fract_x
_atom_site_fract_y
_atom_site_fract_z
_atom_site_occupancy
Fe1 Fe 0.000 0.000 0.000 1
Pb1 Pb 0.000 0.500 0.750 1
Cl1 Cl 0.200 0.226 0.115 1
```

***

# 5
DFT (GGA-PBE) results for a relaxed FePbCl crystal.

## Properties
Raw total energy   -4.363 eV per atom
Density of states at the Fermi level   2.27 states/eV per cell
Crystal system   hexagonal
Calculated volume   21.0 Å³/atom
Total magnetization   3.0 Bohr magnetons per cell
Raw formation energy   0.3099 eV per atom

CIF file:
```
data_FePbCl
_space_group_name_H-M_alt 'P -6 m 2'
_space_group_IT_number 187
_space_group_name_Hall 'P -6 2'
_cell_length_a 4.6543
_cell_length_b 4.6543
_cell_length_c 3.3512
_cell_angle_alpha 90.00
_cell_angle_beta 90.00
_cell_angle_gamma 120.00
loop_
_atom_site_label
_atom_site_type_symbol
_atom_site_fract_x
_atom_site_fract_y
_atom_site_fract_z
_atom_site_occupancy
Fe1 Fe 0.0000 0.0000 0.0000 1
Pb1 Pb 0.3333 0.6667 0.5000 1
Cl1 Cl 0.6667 0.3333 0.0000 1
```

***

# 6
DFT (GGA-PBE) results for a relaxed FePb4Cl crystal.

## Properties
Raw total energy   -3.676 eV per atom
Density of states at the Fermi level   22.02 states/eV per cell
Crystal system   cubic
Calculated volume   30.9 Å³/atom
Total magnetization   12.8 Bohr magnetons per cell
Raw formation energy   0.5147 eV per atom

CIF file:
```
data_FePb4Cl
_space_group_name_H-M_alt 'F -4 3 m'
_space_group_IT_number 216
_space_group_name_Hall 'F -4 2 3'
_cell_length_a 9.050
_cell_length_b 9.050
_cell_length_c 9.050
_cell_angle_alpha 90.00
_cell_angle_beta 90.00
_cell_angle_gamma 90.00
loop_
_atom_site_label
_atom_site_type_symbol
_atom_site_fract_x
_atom_site_fract_y
_atom_site_fract_z
_atom_site_occupancy
Fe1 Fe 0.000 0.000 0.000 1
Pb1 Pb 0.126 0.126 0.626 1
Cl1 Cl 0.250 0.250 0.250 1
```

***

# 7
DFT (GGA-PBE) results for a relaxed FePbCl2 crystal.

## Properties
Raw total energy   -4.254 eV per atom
Density of states at the Fermi level   2.62 states/eV per cell
Crystal system   monoclinic
Calculated volume   25.8 Å³/atom
Total magnetization   3.5 Bohr magnetons per cell
Raw formation energy   -0.2876 eV per atom

CIF file:
```
data_FePbCl2
_space_group_name_H-M_alt 'P 1 2/m 1'
_space_group_IT_number 10
_space_group_name_Hall '-P 2y'
_cell_length_a 3.392
_cell_length_b 3.323
_cell_length_c 9.159
_cell_angle_alpha 90.00
_cell_angle_beta 93.27
_cell_angle_gamma 90.00
loop_
_atom_site_label
_atom_site_type_symbol
_atom_site_fract_x
_atom_site_fract_y
_atom_site_fract_z
_atom_site_occupancy
Fe1 Fe 0.000 0.000 0.000 1
Pb1 Pb 0.000 0.000 0.500 1
Cl1 Cl 0.000 0.500 0.183 1
```

***

# 8
DFT (GGA-PBE) results for a relaxed FePb2Cl crystal.

## Properties
Raw total energy   -4.051 eV per atom
Density of states at the Fermi level   25.97 states/eV per cell
Crystal system   cubic
Calculated volume   24.3 Å³/atom
Total magnetization   10.6 Bohr magnetons per cell
Raw formation energy   0.3803 eV per atom

CIF file:
```
data_FePb2Cl
_space_group_name_H-M_alt 'F m -3 m'
_space_group_IT_number 225
_space_group_name_Hall '-F 4 2 3'
_cell_length_a 7.294
_cell_length_b 7.294
_cell_length_c 7.294
_cell_angle_alpha 90.00
_cell_angle_beta 90.00
_cell_angle_gamma 90.00
loop_
_atom_site_label
_atom_site_type_symbol
_atom_site_fract_x
_atom_site_fract_y
_atom_site_fract_z
_atom_site_occupancy
Fe1 Fe 0.000 0.000 0.000 1
Pb1 Pb 0.250 0.250 0.250 1
Cl1 Cl 0.000 0.000 0.500 1
```

***

# 9
DFT (GGA-PBE) results for a relaxed FePbCl2 crystal.

## Properties
Raw total energy   -4.128 eV per atom
Density of states at the Fermi level   4.48 states/eV per cell
Crystal system   orthorhombic
Calculated volume   25.1 Å³/atom
Total magnetization   6.6 Bohr magnetons per cell
Raw formation energy   -0.1620 eV per atom

CIF file:
```
data_FePbCl2
_space_group_name_H-M_alt 'C m m 2'
_space_group_IT_number 35
_space_group_name_Hall 'C 2 -2'
_cell_length_a 3.833
_cell_length_b 5.927
_cell_length_c 8.838
_cell_angle_alpha 90.00
_cell_angle_beta 90.00
_cell_angle_gamma 90.00
loop_
_atom_site_label
_atom_site_type_symbol
_atom_site_fract_x
_atom_site_fract_y
_atom_site_fract_z
_atom_site_occupancy
Fe1 Fe 0.000 0.000 0.000 1
Pb1 Pb 0.000 0.500 0.249 1
Cl1 Cl 0.000 0.000 0.481 1
Cl2 Cl 0.000 0.500 0.857 1
```

***

# 10
DFT (GGA-PBE) results for a relaxed FePb2Cl crystal.

## Properties
Raw total energy   -4.462 eV per atom
Density of states at the Fermi level   9.69 states/eV per cell
Crystal system   trigonal
Calculated volume   24.7 Å³/atom
Total magnetization   7.9 Bohr magnetons per cell
Raw formation energy   -0.0308 eV per atom

CIF file:
```
data_FePb2Cl
_space_group_name_H-M_alt 'R 3 m'
_space_group_IT_number 160
_space_group_name_Hall 'R 3 -2"'
_cell_length_a 3.4271
_cell_length_b 3.4271
_cell_length_c 29.0943
_cell_angle_alpha 90.00
_cell_angle_beta 90.00
_cell_angle_gamma 120.00
loop_
_atom_site_label
_atom_site_type_symbol
_atom_site_fract_x
_atom_site_fract_y
_atom_site_fract_z
_atom_site_occupancy
Fe1 Fe 0.0000 0.0000 0.0000 1
Pb1 Pb 0.0000 0.0000 0.2619 1
Pb2 Pb 0.0000 0.0000 0.4918 1
Cl1 Cl 0.0000 0.0000 0.7135 1
```